Material: Li3Nd3W2O12
Method: DFT, PBE+U
State: relaxed

```
80
Lattice="10.944 0.000 0.000 -3.648 10.318 0.000 -3.648 -5.159 8.936" Properties=species:S:1:pos:R:3 pbc="T T T"
Li -0.912 -3.224 7.819
Li -0.912 2.580 6.702
Li -0.912 4.514 3.351
Li 6.384 -2.580 6.702
Li 2.736 5.804 3.351
Li -2.736 7.739 2.234
Li -4.560 3.224 7.819
Li 4.560 0.645 5.585
Li 4.560 8.383 1.117
Li 4.560 2.580 2.234
Li 0.912 -0.645 5.585
Li 8.208 1.935 1.117
Nd 2.736 0.000 2.234
Nd 6.384 5.159 2.234
Nd 2.736 -1.935 7.819
Nd 0.912 3.224 1.117
Nd -2.736 0.000 6.702
Nd 0.912 7.094 1.117
Nd 4.560 4.514 5.585
Nd 6.384 -0.645 3.351
Nd 0.912 5.159 6.702
Nd -0.912 0.645 3.351
Nd 2.736 1.935 7.819
Nd -2.736 5.804 5.585
W -3.648 2.580 4.468
W 1.824 2.580 4.468
W 3.648 -2.580 4.468
W 5.472 0.000 0.000
W 3.648 5.159 0.000
W 0.000 0.000 0.000
W -1.824 -2.580 4.468
W -1.824 5.159 0.000
O 1.631 7.387 3.435
O 4.113 -0.685 4.256
O 0.465 -0.764 1.746
O 4.523 3.739 7.903
O -0.875 7.923 2.722
O -1.221 1.298 8.115
O 4.597 6.134 3.754
O 7.489 -1.861 5.289
O -5.007 6.608 6.002
O 4.251 0.062 7.401
O -0.465 5.845 4.680
O 0.193 9.248 0.212
O 7.899 3.799 0.714
O 2.427 5.221 1.534
O 1.631 1.070 0.212
O -1.221 -1.360 8.222
O 6.421 0.975 5.181
O 2.699 8.898 1.033
O 2.699 2.395 2.722
O -1.359 4.395 7.190
O -0.603 5.097 1.534
O 2.017 4.089 8.724
O 3.455 2.228 5.501
O 1.221 -0.062 7.401
O 0.193 2.931 3.435
O 1.359 0.685 4.256
O -2.017 1.861 5.289
O -4.251 -1.298 8.115
O 0.949 -3.739 7.903
O 7.899 6.457 0.821
O -4.113 3.710 6.002
O 4.869 3.861 0.821
O 2.017 -2.228 5.501
O 5.007 0.764 1.746
O 0.949 2.764 6.214
O -4.251 1.360 8.222
O 3.183 5.923 7.190
O -0.875 1.420 1.033
O 4.523 -2.764 6.214
O 8.655 -1.449 2.934
O 4.869 6.519 0.714
O -3.841 7.020 3.647
O 5.665 3.298 3.647
O 3.455 -4.089 8.724
O 7.761 1.449 2.934
O -0.949 -0.975 5.181
O -2.773 4.184 3.754
O 2.289 4.474 4.680
```

Results
Total magnetic moment   0.0 μB/f.u.
Calculated total energy   -7.3819 eV/atom
DOS at the Fermi energy   0.0000 states/eV per atom